# 1
The following is a PBE calculation of PrNd12Er6 after structural relaxation, from Alexandria via LeMat-Bulk.

Cell: 8.6869 8.6869 8.6869 Å, 88.81 88.81 88.81°
With the nearest neighbours (Å) after each atom.
Positions (direct):
Nd: 0.7812 0.5363 0.4329  3 Er 3.36-3.51, 4 Nd 3.36-3.61
Nd: 0.2188 0.4637 0.5671  3 Er 3.36-3.51, 4 Nd 3.36-3.61
Nd: 0.6367 0.9830 0.8032  4 Nd 3.47-3.65, 4 Er 3.55-3.71, 1 Pr 3.63
Nd: 0.3633 0.0170 0.1968  4 Nd 3.47-3.65, 4 Er 3.55-3.71, 1 Pr 3.63
Nd: 0.4329 0.7812 0.5363  3 Er 3.36-3.51, 4 Nd 3.36-3.61
Nd: 0.0170 0.1968 0.3633  4 Nd 3.47-3.65, 4 Er 3.55-3.71, 1 Pr 3.63
Nd: 0.9830 0.8032 0.6367  4 Nd 3.47-3.65, 4 Er 3.55-3.71, 1 Pr 3.63
Nd: 0.5671 0.2188 0.4637  3 Er 3.36-3.51, 4 Nd 3.36-3.61
Nd: 0.8032 0.6367 0.9830  4 Nd 3.47-3.65, 4 Er 3.55-3.71, 1 Pr 3.63
Nd: 0.5363 0.4329 0.7812  3 Er 3.36-3.51, 4 Nd 3.36-3.61
Nd: 0.4637 0.5671 0.2188  3 Er 3.36-3.51, 4 Nd 3.36-3.61
Nd: 0.1968 0.3633 0.0170  4 Nd 3.47-3.65, 4 Er 3.55-3.71, 1 Pr 3.63
Er: 0.2994 0.7419 0.9001  7 Nd 3.36-3.71, 1 Pr 3.51, 2 Er 3.54
Er: 0.7006 0.2581 0.0999  7 Nd 3.36-3.71, 1 Pr 3.51, 2 Er 3.54
Er: 0.0999 0.7006 0.2581  7 Nd 3.36-3.71, 1 Pr 3.51, 2 Er 3.54
Er: 0.2581 0.0999 0.7006  7 Nd 3.36-3.71, 1 Pr 3.51, 2 Er 3.54
Er: 0.9001 0.2994 0.7419  7 Nd 3.36-3.71, 1 Pr 3.51, 2 Er 3.54
Er: 0.7419 0.9001 0.2994  7 Nd 3.36-3.71, 1 Pr 3.51, 2 Er 3.54
Pr: 0.0000 0.0000 0.0000  6 Er 3.51, 6 Nd 3.63

Values from the calculation:
As for the relative energy among the computed polymorphs: 0.000 eV/atom.

# 2
The following is a PBE calculation of Pr12NdEr2 after structural relaxation, from Alexandria via LeMat-Bulk.

Cell: 6.9032 6.9032 25.2480 Å, 90.00 90.00 63.43°
With the nearest neighbours (Å) after each atom.
Positions (direct):
Pr: 0.7693 0.7307 0.4145  7 Pr 3.35-3.72
Pr: 0.7521 0.7479 0.8677  8 Pr 3.39-3.77, 1 Nd 3.76
Pr: 0.5000 0.5000 0.8007  3 Pr 3.15-3.39
Pr: 0.0000 0.0000 0.8007  3 Pr 3.15-3.39
Pr: 0.7469 0.2469 0.9258  2 Nd 3.47-3.49, 9 Pr 3.63-3.77
Pr: 0.0000 0.0000 0.6758  3 Pr 3.15-3.45
Pr: 0.7531 0.2531 0.0742  2 Nd 3.47-3.49, 9 Pr 3.63-3.77
Pr: 0.7307 0.7693 0.5855  7 Pr 3.35-3.72
Pr: 0.2479 0.2521 0.8677  8 Pr 3.39-3.77, 1 Nd 3.76
Pr: 0.2307 0.2693 0.4145  7 Pr 3.35-3.72
Pr: 0.5000 0.5000 0.3242  3 Pr 3.15-3.45
Pr: 0.2521 0.2479 0.1323  8 Pr 3.39-3.77, 1 Nd 3.76
Pr: 0.7479 0.7521 0.1323  8 Pr 3.39-3.77, 1 Nd 3.76
Pr: 0.0000 0.0000 0.3242  3 Pr 3.15-3.45
Pr: 0.2737 0.7737 0.4398  5 Pr 3.09-3.45
Pr: 0.2693 0.2307 0.5855  7 Pr 3.35-3.72
Pr: 0.7263 0.2263 0.4398  5 Pr 3.09-3.45
Pr: 0.2263 0.7263 0.5602  5 Pr 3.09-3.45
Pr: 0.2531 0.7531 0.9258  2 Nd 3.47-3.49, 9 Pr 3.63-3.77
Pr: 0.0000 0.0000 0.1993  3 Pr 3.15-3.39
Pr: 0.7737 0.2737 0.5602  5 Pr 3.09-3.45
Pr: 0.5000 0.5000 0.6758  3 Pr 3.15-3.45
Pr: 0.2469 0.7469 0.0742  2 Nd 3.47-3.49, 9 Pr 3.63-3.77
Pr: 0.5000 0.5000 0.1993  3 Pr 3.15-3.39
Nd: 0.5000 0.0000 0.0015  8 Pr 3.47-3.84, 2 Nd 3.63
Nd: 0.0000 0.5000 0.9985  8 Pr 3.47-3.84, 2 Nd 3.63
Er: 0.5000 0.0000 0.2708  2 Er 3.63, 10 Pr 3.71-3.93
Er: 0.0000 0.5000 0.7292  2 Er 3.63, 10 Pr 3.71-3.93
Er: 0.5000 0.0000 0.7324  2 Er 3.63, 10 Pr 3.74-3.88
Er: 0.0000 0.5000 0.2676  2 Er 3.63, 10 Pr 3.74-3.88

Energy of formation from the pure elements for the records above, in order: 0.131 0.152 eV/atom